# 1
CsKNbF6 | PBE | relaxed

```
CsKNbF6
1.0
-1.831 0.004 6.450
-3.104 -4.034 -4.364
6.941 -7.478 1.975
F Cs Nb K
12 2 2 2
direct
0.928 0.341 0.149 F
0.659 0.587 0.149 F
0.659 0.072 0.351 F
0.341 0.928 0.649 F
0.072 0.659 0.851 F
0.587 0.928 0.851 F
0.928 0.587 0.351 F
0.072 0.413 0.649 F
0.587 0.659 0.649 F
0.413 0.341 0.351 F
0.413 0.072 0.149 F
0.341 0.413 0.851 F
0.000 0.000 0.000 Cs
0.000 0.000 0.500 Cs
0.667 0.333 0.250 Nb
0.333 0.667 0.750 Nb
0.667 0.333 0.750 K
0.333 0.667 0.250 K
```

Properties
* symmetry: P-31c (163)
* VASP energy: -5.548 eV per atom
* magnetization: 1.00 μB/f.u.

---

# 2
EuGe2Pt | PBE | relaxed

```
EuGe2Pt
1.0
4.257 0.000 0.000
2.129 3.687 0.000
2.129 1.229 5.335
Ge Eu Pt
2 1 1
direct
0.219 0.219 0.343 Ge
0.781 0.781 0.657 Ge
0.000 0.000 0.000 Eu
0.500 0.500 0.500 Pt
```

Properties
* symmetry: R-3m (166)
* VASP energy: -7.142 eV per atom
* formation enthalpy at 0 K: -0.7541 eV per atom
* magnetization: 6.88 μB/f.u.